NbAl2Ir2, optimized geometry, DFT GGA-PBE; N(E_F) = 6.088 states/eV/cell; formation energy = -0.64 eV/atom; energy above the most stable polymorph in this dataset = 0 meV per atom; density = 11.66 Mg/m³
1.0
7.3356 0.0000 0.0000
0.0000 7.3356 0.0000
0.0000 0.0000 2.8120
Nb Al Ir
2 4 4
direct
0.0000 0.0000 0.0000
0.5000 0.5000 0.0000
0.1285 0.3715 0.0000
0.3715 0.8715 0.0000
0.6285 0.1285 0.0000
0.8715 0.6285 0.0000
0.1687 0.6687 0.5000
0.3313 0.1687 0.5000
0.6687 0.8313 0.5000
0.8313 0.3313 0.5000